Below is an optimized crystal structure of NaRhPb3, with properties calculated at the PBE level.

The structure belongs to space group Pm-3m (No. 221); the cell edges are 5.310, 5.310 and 5.310 Å and the angles 90.00°, 90.00° and 90.00°. The asymmetric unit holds Na at (0.000, 0.000, 0.000), Rh at (0.500, 0.500, 0.500) and Pb at (0.000, 0.000, 0.500).

The energy relative to the elements comes out at 1.03 eV per atom. The calculation puts the energy at -14.65 eV for the cell shown. As for the volume: 149.7 Å³ per cell.